A geometry-optimized Si2PtBr structure. Source: Alexandria via LeMat-Bulk, functional PBE.

Cell lengths 4.8527, 4.8527, 2.9428 Å; angles 90.00, 90.00, 89.71 degrees
With the nearest neighbours (Å) after each atom.
Fractional positions:
Si: 0.0000 0.0000 0.0000  4 Pt 2.84, 4 Br 2.84, 2 Si 2.94
Br: 0.5000 0.0000 0.5000  8 Si 2.84, 2 Br 2.94
Si: 0.5000 0.5000 0.0000  4 Br 2.84, 4 Pt 2.84, 2 Si 2.94
Pt: 0.0000 0.5000 0.5000  8 Si 2.84, 2 Pt 2.94

Output
Space group   No. 65
VASP energy   -16.78 eV for the cell shown
Crystal system   orthorhombic
DOS at the Fermi energy   0.39 states/eV per atom
E_form (uncorrected)   446 meV/atom

A geometry-optimized SiPtBr2 structure. Source: Alexandria via LeMat-Bulk, functional PBE.

Cell lengths 3.9591, 4.7955, 4.8003 Å; angles 82.51, 90.00, 90.00 degrees
With the nearest neighbours (Å) after each atom.
Fractional positions:
Si: 0.5000 0.7500 0.7500  4 Br 2.75
Br: 0.0000 0.4859 0.4860  2 Pt 2.61, 2 Si 2.75
Br: 0.0000 0.0141 0.0140  2 Pt 2.61, 2 Si 2.75
Pt: 0.5000 0.2500 0.2500  4 Br 2.61

Output
Space group   No. 65
VASP energy   -12.98 eV for the cell shown
Crystal system   orthorhombic
DOS at the Fermi energy   0.55 states/eV per atom
E_form (uncorrected)   458 meV/atom

A geometry-optimized SiPtBr2 structure. Source: Alexandria via LeMat-Bulk, functional PBE.

Cell lengths 3.1911, 3.1911, 9.3467 Å; angles 90.00, 90.00, 90.00 degrees
With the nearest neighbours (Å) after each atom.
Fractional positions:
Br: 0.5000 0.5000 0.3216  1 Si 2.21
Si: 0.5000 0.5000 0.5579  1 Br 2.21
Pt: 0.0000 0.0000 0.6674  4 Si 2.48, 1 Br 2.67
Br: 0.0000 0.0000 0.9531  1 Pt 2.67

Output
Space group   No. 99
VASP energy   -15.87 eV for the cell shown
Crystal system   tetragonal
DOS at the Fermi energy   0.68 states/eV per atom
E_form (uncorrected)   -265 meV/atom

A geometry-optimized SiPtBr2 structure. Source: Alexandria via LeMat-Bulk, functional PBE.

Cell lengths 4.8576, 4.8576, 4.8576 Å; angles 60.00, 60.00, 60.00 degrees
With the nearest neighbours (Å) after each atom.
Fractional positions:
Si: 0.0000 0.0000 0.0000  8 Br 2.97
Br: 0.7500 0.7500 0.7500  4 Pt 2.97, 4 Si 2.97
Br: 0.2500 0.2500 0.2500  4 Pt 2.97, 4 Si 2.97
Pt: 0.5000 0.5000 0.5000  8 Br 2.97

Output
Space group   No. 225
VASP energy   -12.15 eV for the cell shown
Crystal system   cubic
DOS at the Fermi energy   0.03 states/eV per atom
E_form (uncorrected)   664 meV/atom

A geometry-optimized SiPtBr2 structure. Source: Alexandria via LeMat-Bulk, functional PBE.

Cell lengths 8.9568, 8.9568, 8.9568 Å; angles 23.12, 23.12, 23.12 degrees
With the nearest neighbours (Å) after each atom.
Fractional positions:
Si: 0.7702 0.7702 0.7702  3 Pt 2.38
Pt: 0.4815 0.4815 0.4815  3 Si 2.38
Br: 0.0316 0.0316 0.0316  3 Si 2.80
Br: 0.2167 0.2167 0.2167  3 Pt 2.74

Output
Space group   No. 160
VASP energy   -16.32 eV for the cell shown
Crystal system   trigonal
E_form (uncorrected)   -378 meV/atom

A geometry-optimized Si2PtBr structure. Source: Alexandria via LeMat-Bulk, functional PBE.

Cell lengths 3.9539, 3.9539, 7.2865 Å; angles 82.59, 82.59, 59.96 degrees
With the nearest neighbours (Å) after each atom.
Fractional positions:
Si: 0.6233 0.6233 0.1408  1 Br 2.25, 3 Pt 2.49
Pt: 0.3117 0.3117 0.0030  6 Si 2.39-2.49
Br: 0.5706 0.5706 0.4528  1 Si 2.25
Si: 0.9944 0.9944 0.9034  3 Pt 2.39

Output
Space group   No. 8
VASP energy   -20.13 eV for the cell shown
Crystal system   monoclinic
DOS at the Fermi energy   0.10 states/eV per atom
E_form (uncorrected)   -391 meV/atom

A geometry-optimized SiPtBr2 structure. Source: Alexandria via LeMat-Bulk, functional PBE.

Cell lengths 3.2812, 5.9998, 4.3384 Å; angles 90.00, 90.00, 90.00 degrees
With the nearest neighbours (Å) after each atom.
Fractional positions:
Br: 0.0000 0.0000 0.0000  4 Pt 2.72
Pt: 0.5000 0.0000 0.5000  4 Br 2.72
Br: 0.5000 0.5000 0.0000  4 Si 2.72
Si: 0.0000 0.5000 0.5000  4 Br 2.72

Output
Space group   No. 47
VASP energy   -12.72 eV for the cell shown
Crystal system   orthorhombic
DOS at the Fermi energy   0.28 states/eV per atom
E_form (uncorrected)   523 meV/atom

A geometry-optimized SiPt2Br structure. Source: Alexandria via LeMat-Bulk, functional PBE.

Cell lengths 3.8104, 3.8104, 6.3544 Å; angles 73.82, 73.82, 59.62 degrees
With the nearest neighbours (Å) after each atom.
Fractional positions:
Si: 0.7500 0.7500 0.7500  6 Pt 2.42
Pt: 0.0301 0.0301 0.9191  3 Si 2.42
Pt: 0.4699 0.4699 0.5809  3 Si 2.42
Br: 0.2500 0.2500 0.2500  6 Pt 2.91-2.99

Output
Space group   No. 12
VASP energy   -20.09 eV for the cell shown
Crystal system   monoclinic
DOS at the Fermi energy   0.43 states/eV per atom
E_form (uncorrected)   -227 meV/atom

A geometry-optimized SiPt3Br structure. Source: Alexandria via LeMat-Bulk, functional PBE.

Cell lengths 4.6142, 4.6142, 4.6142 Å; angles 90.00, 90.00, 90.00 degrees
With the nearest neighbours (Å) after each atom.
Fractional positions:
Si: 0.0000 0.0000 0.0000  6 Pt 2.31
Pt: 0.0000 0.5000 0.0000  2 Si 2.31
Br: 0.5000 0.5000 0.5000  12 Pt 3.26
Pt: 0.5000 0.0000 0.0000  2 Si 2.31
Pt: 0.0000 0.0000 0.5000  2 Si 2.31

Output
Space group   No. 221
VASP energy   -23.18 eV for the cell shown
Crystal system   cubic
DOS at the Fermi energy   0.35 states/eV per atom
E_form (uncorrected)   408 meV/atom

A geometry-optimized SiPt2Br structure. Source: Alexandria via LeMat-Bulk, functional PBE.

Cell lengths 6.5466, 6.5466, 6.5466 Å; angles 34.36, 34.36, 34.36 degrees
With the nearest neighbours (Å) after each atom.
Fractional positions:
Pt: 0.9635 0.9635 0.9635  3 Si 2.40
Pt: 0.1985 0.1985 0.1985  3 Si 2.43
Br: 0.7549 0.7549 0.7549  6 Pt 3.02-3.21, 1 Si 3.17
Si: 0.5831 0.5831 0.5831  6 Pt 2.40-2.43

Output
Space group   No. 160
VASP energy   -19.92 eV for the cell shown
Crystal system   trigonal
DOS at the Fermi energy   0.47 states/eV per atom
E_form (uncorrected)   -187 meV/atom

A geometry-optimized Si2PtBr structure. Source: Alexandria via LeMat-Bulk, functional PBE.

Cell lengths 3.2100, 3.2100, 7.0840 Å; angles 90.00, 90.00, 90.05 degrees
With the nearest neighbours (Å) after each atom.
Fractional positions:
Br: 0.5000 0.5000 0.2500  8 Si 3.11, 4 Br 3.21
Si: 0.0000 0.0000 0.9492  4 Pt 2.67, 1 Si 2.82
Si: 0.0000 0.0000 0.5508  4 Pt 2.67, 1 Si 2.82
Pt: 0.5000 0.5000 0.7500  8 Si 2.67

Output
Space group   No. 123
VASP energy   -17.96 eV for the cell shown
Crystal system   tetragonal
DOS at the Fermi energy   0.54 states/eV per atom
E_form (uncorrected)   150 meV/atom

A geometry-optimized Si2PtBr structure. Source: Alexandria via LeMat-Bulk, functional PBE.

Cell lengths 3.0121, 4.7130, 4.8896 Å; angles 90.00, 90.00, 90.00 degrees
With the nearest neighbours (Å) after each atom.
Fractional positions:
Si: 0.5000 0.5000 0.0000  6 Si 2.80-3.01, 4 Pt 2.87
Si: 0.0000 0.0000 0.0000  6 Si 2.80-3.01, 4 Br 2.87
Br: 0.5000 0.0000 0.5000  4 Pt 2.80, 4 Si 2.87, 2 Br 3.01
Pt: 0.0000 0.5000 0.5000  4 Br 2.80, 4 Si 2.87, 2 Pt 3.01

Output
Space group   No. 47
VASP energy   -16.21 eV for the cell shown
Crystal system   orthorhombic
DOS at the Fermi energy   0.28 states/eV per atom
E_form (uncorrected)   588 meV/atom

A geometry-optimized SiPt2Br structure. Source: Alexandria via LeMat-Bulk, functional PBE.

Cell lengths 2.7655, 3.9230, 8.1391 Å; angles 90.00, 90.00, 90.00 degrees
With the nearest neighbours (Å) after each atom.
Fractional positions:
Pt: 0.0000 0.0000 0.0685  1 Si 2.29
Br: 0.5000 0.5000 0.7969  2 Br 2.77
Pt: 0.5000 0.5000 0.2849  4 Si 2.46
Si: 0.0000 0.0000 0.3497  5 Pt 2.29-2.46

Output
Space group   No. 25
VASP energy   -18.92 eV for the cell shown
Crystal system   orthorhombic
DOS at the Fermi energy   0.30 states/eV per atom
E_form (uncorrected)   64 meV/atom

A geometry-optimized SiPt3Br structure. Source: Alexandria via LeMat-Bulk, functional PBE.

Cell lengths 4.7714, 4.7714, 4.7714 Å; angles 90.00, 90.00, 90.00 degrees
With the nearest neighbours (Å) after each atom.
Fractional positions:
Pt: 0.0000 0.5000 0.0000  2 Br 2.39
Pt: 0.5000 0.0000 0.0000  2 Br 2.39
Si: 0.5000 0.5000 0.5000  12 Pt 3.37
Br: 0.0000 0.0000 0.0000  6 Pt 2.39
Pt: 0.0000 0.0000 0.5000  2 Br 2.39

Output
Space group   No. 221
VASP energy   -18.67 eV for the cell shown
Crystal system   cubic
DOS at the Fermi energy   0.74 states/eV per atom
E_form (uncorrected)   1311 meV/atom

no.,volume (Å³/cell)
1,69.3
2,90.4
3,95.2
4,81.0
5,97.2
6,97.5
7,85.4
8,75.4
9,98.2
10,79.7
11,73.0
12,69.4
13,88.3
14,108.6